(1)
A relaxed structure of Ac2AlF8, computed with GGA-PBE.

```
Ac2AlF8
1.0
4.2503 0.0000 0.0000
0.0000 5.5148 -0.3417
-2.1252 -2.7738 7.0549
Ac Al F
2 1 8
Direct
0.8376 0.3405 0.6751
0.1624 0.6595 0.3249
0.5000 0.0000 0.0000
0.4084 0.6452 0.8168
0.6661 0.9361 0.3321
0.7775 0.6908 0.5550
0.9812 0.2254 0.9625
0.2225 0.3092 0.4450
0.3339 0.0639 0.6679
0.5916 0.3548 0.1832
0.0188 0.7746 0.0375
```

Output
- Total DFT energy (no corrections): -6.05 eV/atom
- Crystal system: monoclinic
- Excess energy over the best structure of this formula in the dataset: 19.9 meV/atom
- Formation energy without anion corrections: -3598.5 meV/atom
- Space-group type: C2/m

***

(2)
A relaxed structure of Ac2AlF, computed with GGA-PBE.

```
Ac2AlF
1.0
-1.8103 -1.2072 -2.8975
2.7361 -2.2463 -0.7736
-3.4500 -5.7728 4.5607
Ac Al F
2 1 1
Direct
0.0000 0.0000 0.7576
0.0000 0.0000 0.2424
0.5000 0.5000 0.5000
0.5000 0.5000 0.0000
```

Output
- Total DFT energy (no corrections): -4.54 eV/atom
- Crystal system: tetragonal
- Excess energy over the best structure of this formula in the dataset: 129.4 meV/atom
- Formation energy without anion corrections: -1082.8 meV/atom
- Space-group type: P4/mmm

***

(3)
A relaxed structure of Ac2AlF8, computed with GGA-PBE.

```
Ac2AlF8
1.0
-4.2533 -2.4210 -0.2113
2.7008 -5.0629 3.6448
-3.0995 5.1712 3.1405
Ac Al F
2 1 8
Direct
0.7646 0.3333 0.6667
0.2354 0.6667 0.3333
0.5000 0.0000 0.0000
0.7391 0.6667 0.3333
0.2609 0.3333 0.6667
0.2888 0.2593 0.1296
0.7112 0.7407 0.8704
0.7112 0.1296 0.8704
0.2888 0.8704 0.1296
0.2888 0.8704 0.7407
0.7112 0.1296 0.2593
```

Output
- Total DFT energy (no corrections): -6.07 eV/atom
- Crystal system: trigonal
- Excess energy over the best structure of this formula in the dataset: 0.0 meV/atom
- Formation energy without anion corrections: -3618.4 meV/atom
- Space-group type: P-3m1

***

(4)
A relaxed structure of Ac4Al2F, computed with GGA-PBE.

```
Ac4Al2F
1.0
-0.3691 -1.8655 -4.7706
2.5182 -4.2311 1.4597
-8.7829 -0.8128 3.7617
Ac Al F
4 2 1
Direct
0.8135 0.8135 0.6269
0.1865 0.1865 0.3731
0.0000 0.5000 0.0000
0.5000 0.0000 0.0000
0.6300 0.6300 0.2600
0.3700 0.3700 0.7400
0.0000 0.0000 0.0000
```

Output
- Total DFT energy (no corrections): -4.41 eV/atom
- Crystal system: tetragonal
- Formation energy without anion corrections: -725.6 meV/atom
- Space-group type: I4/mmm

***

(5)
A relaxed structure of K2AcAlF8, computed with GGA-PBE.

```
K2AcAlF8
1.0
-1.6734 -4.2369 -0.2754
5.1399 -1.7046 2.6103
-3.0669 0.7854 6.5522
K Ac Al F
2 1 1 8
Direct
0.5000 0.5000 0.7815
0.5000 0.5000 0.2185
0.0000 0.0000 0.5000
0.0000 0.0000 0.0000
0.1109 0.8143 0.1983
0.6690 0.8286 0.0000
0.8890 0.1856 0.1983
0.8891 0.1857 0.8017
0.3310 0.1714 0.0000
0.1110 0.8144 0.8017
0.5355 0.7714 0.5000
0.4645 0.2286 0.5000
```

Output
- Total DFT energy (no corrections): -5.55 eV/atom
- Crystal system: monoclinic
- Formation energy without anion corrections: -3461.2 meV/atom
- Space-group type: P2/m

***

(6)
A relaxed structure of Ac4Al3O12F, computed with GGA-PBE.

```
Ac4Al3O12F
1.0
6.8380 0.0000 0.0000
-2.2793 6.4469 0.0000
-2.2793 -3.2234 5.5832
Ac Al O F
4 3 12 1
Direct
0.5000 0.5000 0.5000
0.0000 0.0000 0.5000
0.5000 0.0000 0.0000
0.0000 0.5000 0.0000
0.5000 0.0000 0.5000
0.5000 0.5000 0.0000
0.0000 0.5000 0.5000
0.2500 0.5000 0.7500
0.7293 0.0000 0.7293
0.2707 0.0000 0.2707
0.7500 0.5000 0.2500
0.7293 0.7293 0.0000
0.2707 0.2707 0.0000
0.7500 0.2500 0.5000
0.2500 0.7500 0.5000
0.5000 0.2500 0.7500
0.0000 0.7293 0.7293
0.5000 0.7500 0.2500
0.0000 0.2707 0.2707
0.0000 0.0000 0.0000
```

Output
- Total DFT energy (no corrections): -7.07 eV/atom
- Crystal system: cubic
- Formation energy without anion corrections: -2622.5 meV/atom
- Space-group type: Im-3m

***

What is the total DFT energy (no corrections) in the second record? -4.54 eV/atom